Here is Li3H6Rh at its PBEsol-relaxed geometry from Alexandria. Energies are from SCAN.

Properties
The calculation puts the energy at -266.8 eV per cell. The calculation puts the mass density at 2.62 Mg/m³.

```
data_Li3H6Rh
_chemical_formula_sum 'Li12 H24 Rh4'
_symmetry_space_group_name_H-M 'P n m a'
_symmetry_Int_Tables_number 62
_cell_length_a 8.317
_cell_length_b 4.670
_cell_length_c 8.465
_cell_angle_alpha 90.00
_cell_angle_beta 90.00
_cell_angle_gamma 90.00
loop_
_symmetry_equiv_pos_as_xyz
'x,y,z'
'-x,-y,-z'
'-x+1/2,-y,z+1/2'
'x+1/2,y,-z+1/2'
'x+1/2,-y+1/2,-z+1/2'
'-x+1/2,y+1/2,z+1/2'
'-x,y+1/2,-z'
'x,-y+1/2,z'
loop_
_atom_site_label
_atom_site_fract_x
_atom_site_fract_y
_atom_site_fract_z
_atom_site_occupancy
Li1 0.044 0.250 0.131 1
Li2 0.102 0.750 0.525 1
Li3 0.223 0.250 0.748 1
H1 0.101 0.005 0.327 1
H2 0.114 0.250 0.560 1
H3 0.154 0.000 0.967 1
H4 0.173 0.750 0.735 1
Rh1 0.224 0.250 0.398 1
```